Below is a geometry-optimized ZrHgIr structure, with properties calculated at the PBE level.

Computed properties:
energy above the lowest structure with this stoichiometry	252	meV/atom
calculated volume	66.9	Å³/f.u.
density of states at the Fermi level	2.16	states/eV/f.u.
symmetry	No. 156
energy of formation from the pure elements	-2.70	kcal/mol of atoms
raw total energy	-18.1	eV per formula unit

Unit cell a=3.669 b=3.669 c=5.741 alpha=90.00 beta=90.00 gamma=120.00
Sites, in units of the cell vectors:
Zr 0.000 0.000 0.000
Hg 0.333 0.667 0.403
Ir 0.667 0.333 0.742